VASP calculation (GGA-PBE) on an optimized crystal structure of TbUTc4. Values from VASP.

Output
**Space-group type**: No. 216
**Formation energy**: 32 meV per atom
**Calculated volume**: 18.3 Å³/atom

```
&SYSTEM
  ibrav = 0, nat = 6, ntyp = 3
/
ATOMIC_SPECIES
Tb 158.93 Tb.upf
U 238.03 U.upf
Tc 98.00 Tc.upf
CELL_PARAMETERS angstrom
0.0000 3.8021 3.8021
3.8021 0.0000 3.8021
3.8021 3.8021 0.0000
ATOMIC_POSITIONS crystal
Tb 0.0000 0.0000 0.0000
U 0.2500 0.2500 0.2500
Tc 0.1242 0.6253 0.6253
Tc 0.6253 0.1242 0.6253
Tc 0.6253 0.6253 0.1242
Tc 0.6253 0.6253 0.6253
```